This record from the Alexandria database describes SrMgS2N at its PBEsol-relaxed geometry. The functional is SCAN.

```
SrMgS2N
1.0
5.4448 0.0000 0.0000
0.0000 5.4448 0.0000
0.0000 0.0000 4.6085
Sr Mg S N
1 1 2 1
Direct
0.0000 0.0000 0.0000 Sr
0.5000 0.5000 0.5000 Mg
0.0000 0.5000 0.0000 S
0.5000 0.0000 0.0000 S
0.0000 0.0000 0.5000 N
```

Summary:
symmetry: P4/mmm, No. 123
uncorrected energy: -10.7716 eV per atom
Fermi-level density of states: 2.84 states/eV/f.u.
formation energy (no corrections): 0.39 eV per atom